[1]
Below is LaNb2Ga after structural relaxation, with properties calculated at the GGA-PBE level.

Computed properties:
- ΔH_f (0 K): 11.3 kcal/mol of atoms
- Mass density: 7.13 g/cm3

```
data_LaNb2Ga
_cell_length_a 8.073
_cell_length_b 8.073
_cell_length_c 5.636
_cell_angle_alpha 90.00
_cell_angle_beta 90.00
_cell_angle_gamma 90.00
_space_group_name_H-M_alt 'I -4 2 d'
_space_group_IT_number 122
_space_group_name_Hall 'I -4 2bw'
loop_
_atom_site_label
_atom_site_type_symbol
_atom_site_fract_x
_atom_site_fract_y
_atom_site_fract_z
_atom_site_occupancy
La1 La 0.000 0.000 0.000 1
Nb1 Nb 0.199 0.250 0.625 1
Ga1 Ga 0.000 0.000 0.500 1
```

[2]
Below is La2NbGaRu after structural relaxation, with properties calculated at the GGA-PBE level.

Computed properties:
- ΔH_f (0 K): 16.9 kcal/mol of atoms
- Mass density: 6.16 g/cm3

```
data_La2NbGaRu
_cell_length_a 5.677
_cell_length_b 5.677
_cell_length_c 4.526
_cell_angle_alpha 90.00
_cell_angle_beta 90.00
_cell_angle_gamma 90.00
_space_group_name_H-M_alt 'P 4/m m m'
_space_group_IT_number 123
_space_group_name_Hall '-P 4 2'
loop_
_atom_site_label
_atom_site_type_symbol
_atom_site_fract_x
_atom_site_fract_y
_atom_site_fract_z
_atom_site_occupancy
La1 La 0.000 0.500 0.000 1
Nb1 Nb 0.000 0.000 0.500 1
Ga1 Ga 0.500 0.500 0.000 1
Ru1 Ru 0.500 0.500 0.500 1
```

[3]
Below is LaNb2GaSi after structural relaxation, with properties calculated at the GGA-PBE level.

Computed properties:
- Mass density: 6.23 g/cm3
- Formation energy without anion corrections: 0.32 eV/atom

```
data_LaNb2GaSi
_cell_length_a 4.846
_cell_length_b 4.846
_cell_length_c 4.795
_cell_angle_alpha 90.00
_cell_angle_beta 90.00
_cell_angle_gamma 90.00
_space_group_name_H-M_alt 'P 4/m m m'
_space_group_IT_number 123
_space_group_name_Hall '-P 4 2'
loop_
_atom_site_label
_atom_site_type_symbol
_atom_site_fract_x
_atom_site_fract_y
_atom_site_fract_z
_atom_site_occupancy
La1 La 0.000 0.000 0.000 1
Nb1 Nb 0.000 0.500 0.500 1
Ga1 Ga 0.500 0.500 0.000 1
Si1 Si 0.500 0.500 0.500 1
```

[4]
Below is La2NbGaTc after structural relaxation, with properties calculated at the GGA-PBE level.

Computed properties:
- ΔH_f (0 K): 15.1 kcal/mol of atoms
- Mass density: 6.05 g/cm3

```
data_La2NbGaTc
_cell_length_a 5.657
_cell_length_b 5.657
_cell_length_c 4.620
_cell_angle_alpha 90.00
_cell_angle_beta 90.00
_cell_angle_gamma 90.00
_space_group_name_H-M_alt 'P 4/m m m'
_space_group_IT_number 123
_space_group_name_Hall '-P 4 2'
loop_
_atom_site_label
_atom_site_type_symbol
_atom_site_fract_x
_atom_site_fract_y
_atom_site_fract_z
_atom_site_occupancy
La1 La 0.000 0.500 0.000 1
Nb1 Nb 0.000 0.000 0.000 1
Ga1 Ga 0.500 0.500 0.500 1
Tc1 Tc 0.000 0.000 0.500 1
```

[5]
Below is La3NdGa after structural relaxation, with properties calculated at the GGA-PBE level.

Computed properties:
- ΔH_f (0 K): -5.0 kcal/mol of atoms
- Mass density: 6.49 g/cm3

```
data_La3NdGa
_cell_length_a 3.751
_cell_length_b 9.194
_cell_length_c 9.821
_cell_angle_alpha 103.60
_cell_angle_beta 100.99
_cell_angle_gamma 90.02
_space_group_name_H-M_alt 'P -1'
_space_group_IT_number 2
loop_
_space_group_symop_operation_xyz
'x,y,z'
'-x,-y,-z'
loop_
_atom_site_label
_atom_site_type_symbol
_atom_site_fract_x
_atom_site_fract_y
_atom_site_fract_z
_atom_site_occupancy
La1 La 0.002 0.323 0.001 1
La2 La 0.187 0.370 0.375 1
La3 La 0.203 0.836 0.404 1
Nd1 Nd 0.409 0.964 0.820 1
Ga1 Ga 0.383 0.426 0.766 1
```

[6]
Below is La2Nd2Ga after structural relaxation, with properties calculated at the GGA-PBE level.

Computed properties:
- ΔH_f (0 K): -3.9 kcal/mol of atoms
- Mass density: 6.63 g/cm3

```
data_La2Nd2Ga
_cell_length_a 8.619
_cell_length_b 9.701
_cell_length_c 8.396
_cell_angle_alpha 90.00
_cell_angle_beta 114.86
_cell_angle_gamma 90.00
_space_group_name_H-M_alt 'C 1 2/m 1'
_space_group_IT_number 12
loop_
_space_group_symop_operation_xyz
'x,y,z'
'-x,-y,-z'
'-x,y,-z'
'x,-y,z'
'x+1/2,y+1/2,z'
'-x+1/2,-y+1/2,-z'
'-x+1/2,y+1/2,-z'
'x+1/2,-y+1/2,z'
loop_
_atom_site_label
_atom_site_type_symbol
_atom_site_fract_x
_atom_site_fract_y
_atom_site_fract_z
_atom_site_occupancy
La1 La 0.158 0.000 0.404 1
La2 La 0.225 0.500 0.120 1
Nd1 Nd 0.082 0.308 0.733 1
Ga1 Ga 0.000 0.151 0.000 1
```

[7]
Below is La2Nd2Ga after structural relaxation, with properties calculated at the GGA-PBE level.

Computed properties:
- ΔH_f (0 K): -3.0 kcal/mol of atoms
- Mass density: 6.31 g/cm3

```
data_La2Nd2Ga
_cell_length_a 3.856
_cell_length_b 8.029
_cell_length_c 10.817
_cell_angle_alpha 90.00
_cell_angle_beta 90.00
_cell_angle_gamma 90.00
_space_group_name_H-M_alt 'I m m m'
_space_group_IT_number 71
_space_group_name_Hall '-I 2 2'
loop_
_atom_site_label
_atom_site_type_symbol
_atom_site_fract_x
_atom_site_fract_y
_atom_site_fract_z
_atom_site_occupancy
La1 La 0.000 0.193 0.000 1
Nd1 Nd 0.000 0.500 0.234 1
Ga1 Ga 0.000 0.000 0.500 1
```

[8]
Below is LaNdGa after structural relaxation, with properties calculated at the GGA-PBE level.

Computed properties:
- ΔH_f (0 K): -7.3 kcal/mol of atoms
- Mass density: 6.61 g/cm3

```
data_LaNdGa
_cell_length_a 9.125
_cell_length_b 5.303
_cell_length_c 7.933
_cell_angle_alpha 90.00
_cell_angle_beta 112.47
_cell_angle_gamma 90.00
_space_group_name_H-M_alt 'C 1 2/m 1'
_space_group_IT_number 12
loop_
_space_group_symop_operation_xyz
'x,y,z'
'-x,-y,-z'
'-x,y,-z'
'x,-y,z'
'x+1/2,y+1/2,z'
'-x+1/2,-y+1/2,-z'
'-x+1/2,y+1/2,-z'
'x+1/2,-y+1/2,z'
loop_
_atom_site_label
_atom_site_type_symbol
_atom_site_fract_x
_atom_site_fract_y
_atom_site_fract_z
_atom_site_occupancy
La1 La 0.128 0.000 0.384 1
Nd1 Nd 0.205 0.500 0.114 1
Ga1 Ga 0.062 0.500 0.690 1
```

[9]
Below is La8NdGa2 after structural relaxation, with properties calculated at the GGA-PBE level.

Computed properties:
- ΔH_f (0 K): -3.3 kcal/mol of atoms
- Mass density: 6.30 g/cm3

```
data_La8NdGa2
_cell_length_a 16.329
_cell_length_b 7.022
_cell_length_c 6.445
_cell_angle_alpha 90.00
_cell_angle_beta 95.29
_cell_angle_gamma 90.00
_space_group_name_H-M_alt 'C 1 2/m 1'
_space_group_IT_number 12
loop_
_space_group_symop_operation_xyz
'x,y,z'
'-x,-y,-z'
'-x,y,-z'
'x,-y,z'
'x+1/2,y+1/2,z'
'-x+1/2,-y+1/2,-z'
'-x+1/2,y+1/2,-z'
'x+1/2,-y+1/2,z'
loop_
_atom_site_label
_atom_site_type_symbol
_atom_site_fract_x
_atom_site_fract_y
_atom_site_fract_z
_atom_site_occupancy
La1 La 0.087 0.000 0.410 1
La2 La 0.105 0.243 0.919 1
La3 La 0.212 0.500 0.339 1
Nd1 Nd 0.000 0.500 0.500 1
Ga1 Ga 0.245 0.000 0.170 1
```

[10]
Below is LaNdGa6 after structural relaxation, with properties calculated at the GGA-PBE level.

Computed properties:
- ΔH_f (0 K): -13.6 kcal/mol of atoms
- Mass density: 6.83 g/cm3

```
data_LaNdGa6
_cell_length_a 6.5325
_cell_length_b 6.5325
_cell_length_c 4.6156
_cell_angle_alpha 90.00
_cell_angle_beta 90.00
_cell_angle_gamma 120.00
_space_group_name_H-M_alt 'P -6 m 2'
_space_group_IT_number 187
_space_group_name_Hall 'P -6 2'
loop_
_atom_site_label
_atom_site_type_symbol
_atom_site_fract_x
_atom_site_fract_y
_atom_site_fract_z
_atom_site_occupancy
La1 La 0.0000 0.0000 0.0000 1
Nd1 Nd 0.6667 0.3333 0.5000 1
Ga1 Ga 0.0486 0.5243 0.0000 1
Ga2 Ga 0.1924 0.3849 0.5000 1
```

[11]
Below is LaNd4Ga5 after structural relaxation, with properties calculated at the GGA-PBE level.

Computed properties:
- ΔH_f (0 K): -12.9 kcal/mol of atoms
- Mass density: 6.91 g/cm3

```
data_LaNd4Ga5
_cell_length_a 3.708
_cell_length_b 3.708
_cell_length_c 18.598
_cell_angle_alpha 90.00
_cell_angle_beta 90.00
_cell_angle_gamma 90.00
_space_group_name_H-M_alt 'P 4/m m m'
_space_group_IT_number 123
_space_group_name_Hall '-P 4 2'
loop_
_atom_site_label
_atom_site_type_symbol
_atom_site_fract_x
_atom_site_fract_y
_atom_site_fract_z
_atom_site_occupancy
La1 La 0.000 0.000 0.000 1
Nd1 Nd 0.000 0.000 0.203 1
Nd2 Nd 0.000 0.000 0.401 1
Ga1 Ga 0.500 0.500 0.105 1
Ga2 Ga 0.500 0.500 0.302 1
Ga3 Ga 0.500 0.500 0.500 1
```

[12]
Below is La6NdGa after structural relaxation, with properties calculated at the GGA-PBE level.

Computed properties:
- ΔH_f (0 K): 5.3 kcal/mol of atoms
- Mass density: 5.76 g/cm3

```
data_La6NdGa
_cell_length_a 6.976
_cell_length_b 6.986
_cell_length_c 8.179
_cell_angle_alpha 65.25
_cell_angle_beta 64.81
_cell_angle_gamma 60.24
_space_group_name_H-M_alt 'P -1'
_space_group_IT_number 2
loop_
_space_group_symop_operation_xyz
'x,y,z'
'-x,-y,-z'
loop_
_atom_site_label
_atom_site_type_symbol
_atom_site_fract_x
_atom_site_fract_y
_atom_site_fract_z
_atom_site_occupancy
La1 La 0.046 0.435 0.256 1
La2 La 0.242 0.951 0.744 1
La3 La 0.438 0.760 0.256 1
Nd1 Nd 0.500 0.500 0.000 1
Ga1 Ga 0.000 0.000 0.500 1
```

Record order is preserved below.
Spin magnetization: 0.0 3.2 0.0 0.0 0.0 0.0 0.0 0.0 0.0 0.0 0.0 0.0 μB/cell